# AgAsOs3

An optimized crystal structure of AgAsOs3 (PBE, the Alexandria database).

The value obtained for the formation enthalpy at 0 K is 1.680 eV/atom. Its distance to the lowest polymorph of the same formula is 0.0 meV/atom. For the magnetization, the calculation gives 0.36 μB per atom.

The structure belongs to space group Pm-3m (No. 221); the cell edges are 4.5427, 4.5427 and 4.5427 Å and the angles 90.00°, 90.00° and 90.00°. The asymmetric unit holds Ag at (0.0000, 0.0000, 0.0000), As at (0.5000, 0.5000, 0.5000) and Os at (0.0000, 0.5000, 0.5000).

=====

# RbGaPb

An optimized crystal structure of RbGaPb (PBE, the Alexandria database).

The value obtained for the formation enthalpy at 0 K is -0.053 eV/atom. For the magnetization, the calculation gives 0.00 μB per atom.

The structure belongs to space group P-1 (No. 2); the cell edges are 4.6248, 6.8802 and 8.1224 Å and the angles 101.99°, 90.13° and 109.47°. The asymmetric unit holds Rb at (0.0000, 0.0000, 0.0000), Rb at (0.5000, 0.0000, 0.5000), Ga at (0.2158, 0.4342, 0.4087) and Pb at (0.2606, 0.5161, 0.7908).

=====

# TcNi2W

An optimized crystal structure of TcNi2W (PBE, the Alexandria database).

The value obtained for the formation enthalpy at 0 K is 0.208 eV/atom. Its distance to the lowest polymorph of the same formula is 236.7 meV/atom. For the magnetization, the calculation gives 0.00 μB per atom.

The structure belongs to space group R-3m (No. 166, hexagonal axes); the cell edges are 2.6747, 2.6747 and 25.9387 Å and the angles 90.00°, 90.00° and 120.00°. The asymmetric unit holds Tc at (0.0000, 0.0000, 0.0000), Ni at (0.0000, 0.0000, 0.2517) and W at (0.0000, 0.0000, 0.5000).

=====

# PuTh2Pd

An optimized crystal structure of PuTh2Pd (PBE, the Alexandria database).

The value obtained for the formation enthalpy at 0 K is 0.106 eV/atom. Its distance to the lowest polymorph of the same formula is 366.9 meV/atom. For the magnetization, the calculation gives 1.54 μB per atom.

The structure belongs to space group R-3m (No. 166, hexagonal axes); the cell edges are 3.4842, 3.4842 and 32.4463 Å and the angles 90.00°, 90.00° and 120.00°. The asymmetric unit holds Pu at (0.0000, 0.0000, 0.0000), Th at (0.0000, 0.0000, 0.0978) and Pd at (0.0000, 0.0000, 0.5000).

=====

| no. | calculated volume (Å³ per cell) |
| --- | --- |
| 1 | 93.7 |
| 2 | 237.6 |
| 3 | 160.7 |
| 4 | 341.1 |